No. 1
! GGA-PBE LiYZrZn, relaxed; values from VASP
&SYSTEM
  ibrav = 0, nat = 4, ntyp = 4
/
ATOMIC_SPECIES
Li 6.94 Li.upf
Y 88.91 Y.upf
Zr 91.22 Zr.upf
Zn 65.41 Zn.upf
ATOMIC_POSITIONS angstrom
Li 0.0000 0.0000 0.0000
Y 1.7372 1.7372 1.7372
Zr 5.2117 5.2117 5.2117
Zn 3.4745 3.4745 3.4745
CELL_PARAMETERS angstrom
0.0000 3.4745 3.4745
3.4745 0.0000 3.4745
3.4745 3.4745 0.0000
! Magnetic moment, μB/f.u.: 0.000
! Fermi-level density of states, states/eV/atom: 1.06
! Energy, eV/atom: -4.57
! E_form, eV per atom: -0.016
! Space-group type: F-43m
! Calculated volume, Å³/cell: 83.9


No. 2
! GGA-PBE HoZrRe, relaxed; values from VASP
&SYSTEM
  ibrav = 0, nat = 3, ntyp = 3
/
ATOMIC_SPECIES
Ho 164.93 Ho.upf
Zr 91.22 Zr.upf
Re 186.21 Re.upf
ATOMIC_POSITIONS angstrom
Ho 0.0000 0.0000 0.0000
Zr 0.0000 0.0000 3.2218
Re 0.0000 0.0000 7.9374
CELL_PARAMETERS angstrom
-1.6789 1.6789 6.1380
1.6789 -1.6789 6.1380
1.6789 1.6789 -6.1380
! Magnetic moment, μB/f.u.: 0.000
! Fermi-level density of states, states/eV/atom: 0.43
! Energy, eV/atom: -8.55
! E_form, eV per atom: -0.026
! Space-group type: I4mm
! Calculated volume, Å³/cell: 69.2


No. 3
! GGA-PBE Ba3SrCo, relaxed; values from VASP
&SYSTEM
  ibrav = 0, nat = 5, ntyp = 3
/
ATOMIC_SPECIES
Ba 137.33 Ba.upf
Sr 87.62 Sr.upf
Co 58.93 Co.upf
ATOMIC_POSITIONS angstrom
Ba 0.0000 0.0000 3.0936
Ba 0.0000 3.0936 0.0000
Ba 3.0936 0.0000 0.0000
Sr 3.0936 3.0936 3.0936
Co 0.0000 0.0000 0.0000
CELL_PARAMETERS angstrom
6.1871 0.0000 0.0000
0.0000 6.1871 0.0000
0.0000 0.0000 6.1871
! Magnetic moment, μB/f.u.: 0.000
! Fermi-level density of states, states/eV/atom: 1.35
! Energy, eV/atom: -2.69
! E_form, eV per atom: 0.226
! Space-group type: Pm-3m
! Calculated volume, Å³/cell: 236.8


No. 4
! GGA-PBE Tm2US5, relaxed; values from VASP
&SYSTEM
  ibrav = 0, nat = 8, ntyp = 3
/
ATOMIC_SPECIES
Tm 168.93 Tm.upf
U 238.03 U.upf
S 32.06 S.upf
ATOMIC_POSITIONS angstrom
Tm 2.6760 4.4412 2.6187
Tm 2.6760 4.4412 11.9178
U 2.6760 4.4412 7.2683
S 0.0000 0.0000 0.0000
S 2.6760 2.9817 5.0097
S 2.6760 2.9817 9.5269
S 2.6760 5.9007 5.0097
S 2.6760 5.9007 9.5269
CELL_PARAMETERS angstrom
0.0000 4.4412 7.2683
2.6760 0.0000 7.2683
2.6760 4.4412 0.0000
! Magnetic moment, μB/f.u.: 1.817
! Fermi-level density of states, states/eV/atom: 0.43
! Energy, eV/atom: -6.57
! Space-group type: Fmmm
! Calculated volume, Å³/cell: 172.8
! Raw formation energy, eV per atom: -1.461